# 1
Compound: UNbAsN
Source: Alexandria
Functional: PBE
Structure: optimized geometry

abc: 3.9179 3.9179 8.9596
angles: 90.00 90.00 90.00
Fractional coordinates of all 8 atoms:
U 0.2500 0.2500 0.1278
U 0.7500 0.7500 0.8722
Nb 0.2500 0.7500 0.5000
Nb 0.7500 0.2500 0.5000
As 0.2500 0.2500 0.7060
As 0.7500 0.7500 0.2940
N 0.2500 0.7500 0.0000
N 0.7500 0.2500 0.0000

Calculated values
For the energy relative to the elements, uncorrected, the calculation gives -4.0 eV/f.u. The value obtained for the total magnetic moment is 1.5 μB/f.u. The calculation puts the calculated volume at 68.8 Å³/f.u. Its total energy is -9.581 eV/atom. As for the density of states at the Fermi level: 10.44 states/eV/cell.

=====

# 2
Compound: HoSc2Tl
Source: Alexandria
Functional: PBE
Structure: optimized geometry

abc: 11.4759 11.4759 11.4759
angles: 16.69 16.69 16.69
Fractional coordinates of all 4 atoms:
Ho 0.0000 0.0000 0.0000
Sc 0.0942 0.0942 0.0942
Sc 0.9058 0.9058 0.9058
Tl 0.5000 0.5000 0.5000

Calculated values
Its energy above the lowest structure with this stoichiometry is 346 meV per atom. The value obtained for the total magnetic moment is 0.8 μB/f.u. The calculation puts the calculated volume at 108.7 Å³/f.u. The calculation puts the formation energy at 0.167 eV per atom. Its total energy is -4.735 eV/atom. As for the density of states at the Fermi level: 7.27 states/eV/cell.

=====

# 3
Compound: Ca4TlO
Source: Alexandria
Functional: PBE
Structure: optimized geometry

abc: 6.3128 7.3975 8.0301
angles: 104.50 112.94 90.04
Fractional coordinates of all 12 atoms:
Ca 0.0031 0.0569 0.2943
Ca 0.2097 0.4424 0.7051
Ca 0.2500 0.3447 0.1118
Ca 0.3614 0.8441 0.1113
Ca 0.6386 0.1559 0.8887
Ca 0.7500 0.6553 0.8882
Ca 0.7903 0.5576 0.2949
Ca 0.9969 0.9431 0.7057
Tl 0.3677 0.7509 0.5010
Tl 0.6323 0.2491 0.4990
O 0.0000 0.0000 0.0000
O 0.5000 0.5000 0.0000

Calculated values
For the energy relative to the elements, uncorrected, the calculation gives -5.8 eV/f.u. The value obtained for the total magnetic moment is 0.8 μB/f.u. The calculation puts the calculated volume at 166.2 Å³/f.u. Its total energy is -3.528 eV/atom. As for the density of states at the Fermi level: 8.51 states/eV/cell.

=====

# 4
Compound: CsTaPCl2
Source: Alexandria
Functional: PBE
Structure: optimized geometry

abc: 5.1333 5.1333 4.8676
angles: 90.00 90.00 90.00
Fractional coordinates of all 5 atoms:
Cs 0.0000 0.0000 0.0000
Ta 0.5000 0.5000 0.5000
P 0.5000 0.5000 0.0000
Cl 0.0000 0.5000 0.5000
Cl 0.5000 0.0000 0.5000

Calculated values
For the energy relative to the elements, uncorrected, the calculation gives -3.9 eV/f.u. The value obtained for the total magnetic moment is 0.1 μB/f.u. The calculation puts the calculated volume at 128.3 Å³/f.u. Its total energy is -5.142 eV/atom. As for the density of states at the Fermi level: 1.14 states/eV/cell.

=====

# 5
Compound: CsTlAuI4
Source: Alexandria
Functional: PBE
Structure: optimized geometry

abc: 8.7195 7.0929 10.7066
angles: 90.00 106.62 90.00
Fractional coordinates of all 14 atoms:
Cs 0.2372 0.2500 0.4347
Cs 0.7628 0.7500 0.5653
Tl 0.2090 0.2500 0.9394
Tl 0.7910 0.7500 0.0606
Au 0.2585 0.7500 0.1858
Au 0.7415 0.2500 0.8142
I 0.0774 0.7500 0.3612
I 0.0993 0.7500 0.9186
I 0.4916 0.5135 0.7632
I 0.4916 0.9865 0.7632
I 0.5084 0.0135 0.2368
I 0.5084 0.4865 0.2368
I 0.9007 0.2500 0.0814
I 0.9226 0.2500 0.6388

Calculated values
For the energy relative to the elements, uncorrected, the calculation gives -4.3 eV/f.u. The value obtained for the total magnetic moment is 0.0 μB/f.u. The calculation puts the calculated volume at 317.3 Å³/f.u. Its total energy is -2.428 eV/atom. As for the density of states at the Fermi level: 3.52 states/eV/cell.

=====

# 6
Compound: Sr3AcCd8
Source: Alexandria
Functional: PBE
Structure: optimized geometry

abc: 6.2976 6.2976 9.8833
angles: 90.00 90.00 120.00
Fractional coordinates of all 12 atoms:
Sr 0.0000 0.0000 0.0000
Sr 0.0000 0.0000 0.3835
Sr 0.3333 0.6667 0.8851
Ac 0.3333 0.6667 0.5001
Cd 0.0027 0.5014 0.1922
Cd 0.3300 0.1650 0.6921
Cd 0.4986 0.5014 0.1922
Cd 0.4986 0.9973 0.1922
Cd 0.6667 0.3333 0.4426
Cd 0.6667 0.3333 0.9419
Cd 0.8350 0.1650 0.6921
Cd 0.8350 0.6700 0.6921

Calculated values
The value obtained for the total magnetic moment is 0.0 μB/f.u. The calculation puts the calculated volume at 339.5 Å³/f.u. The calculation puts the formation energy at -0.308 eV per atom. Its total energy is -1.680 eV/atom. As for the density of states at the Fermi level: 8.51 states/eV/cell.